## ZrPaTl2O8 (GGA-PBE)

Data for crystalline ZrPaTl2O8 at its relaxed geometry.

Properties
space group: I-4m2
uncorrected formation energy: -1923 meV per atom

a b c (Å): 6.1392 6.1392 6.1392
angles (deg): 111.82 111.82 104.88
Closest atoms and distances in Å follow each position.
Element x y z (fractional)
Zr 0.0000 0.0000 0.0000  8 O 2.15-2.36
Pa 0.7500 0.2500 0.5000  8 O 2.19-2.43
Tl 0.2500 0.7500 0.5000  4 O 2.13
Tl 0.5000 0.5000 0.0000  4 O 2.14
O 0.0244 0.3361 0.3118  1 Tl 2.13, 1 Zr 2.15, 1 O 2.36
O 0.0244 0.7126 0.6882  1 Tl 2.13, 1 Zr 2.15, 1 O 2.36
O 0.0858 0.2675 0.8183  1 Tl 2.14, 1 Pa 2.19, 1 O 2.36, 1 Zr 2.36
O 0.2874 0.9756 0.3118  1 Tl 2.13, 1 Zr 2.15, 1 O 2.36
O 0.4492 0.2675 0.1817  1 Tl 2.14, 1 Pa 2.19, 1 O 2.36, 1 Zr 2.36
O 0.6639 0.9756 0.6882  1 Tl 2.13, 1 Zr 2.15, 1 O 2.36
O 0.7325 0.5508 0.8183  1 Tl 2.14, 1 Pa 2.19, 1 O 2.36, 1 Zr 2.36
O 0.7325 0.9142 0.1817  1 Tl 2.14, 1 Pa 2.19, 1 O 2.36, 1 Zr 2.36

---

## TbPmYHo (GGA-PBE)

Data for crystalline TbPmYHo at its relaxed geometry.

Properties
space group: I-4m2
formation enthalpy at 0 K: 0.019 eV/atom
energy relative to the lowest polymorph listed for this composition: 0.0000 eV/atom

a b c (Å): 6.1825 6.1825 6.1825
angles (deg): 131.60 131.60 70.87
Closest atoms and distances in Å follow each position.
Element x y z (fractional)
Tb 0.0000 0.0000 0.0000  4 Pm 3.57, 4 Y 3.57, 4 Ho 3.58
Pm 0.2500 0.7500 0.5000  4 Tb 3.57, 4 Ho 3.57, 4 Y 3.58
Y 0.7500 0.2500 0.5000  4 Tb 3.57, 4 Ho 3.57, 4 Pm 3.58
Ho 0.5000 0.5000 0.0000  4 Pm 3.57, 4 Y 3.57, 4 Tb 3.58

---

## Ce6CN2O3 (GGA-PBE)

Data for crystalline Ce6CN2O3 at its relaxed geometry.

Properties
space group: C2/m
uncorrected formation energy: -2020 meV per atom

a b c (Å): 7.9595 7.9595 7.1142
angles (deg): 102.70 102.70 25.93
Closest atoms and distances in Å follow each position.
Element x y z (fractional)
Ce 0.0011 0.0011 0.2516  3 O 2.51-2.52, 1 N 2.52, 2 C 2.53
Ce 0.3323 0.3323 0.4186  3 N 2.48-2.50, 3 O 2.53
Ce 0.3328 0.3328 0.9141  2 N 2.52, 1 C 2.53, 3 O 2.53-2.54
Ce 0.6672 0.6672 0.0859  2 N 2.52, 1 C 2.53, 3 O 2.53-2.54
Ce 0.6677 0.6677 0.5814  3 N 2.48-2.50, 3 O 2.53
Ce 0.9989 0.9989 0.7484  3 O 2.51-2.52, 1 N 2.52, 2 C 2.53
C 0.5000 0.5000 0.0000  6 Ce 2.53
N 0.1681 0.1681 0.3355  6 Ce 2.48-2.52
N 0.8319 0.8319 0.6645  6 Ce 2.48-2.52
O 0.1653 0.1653 0.8321  6 Ce 2.51-2.54
O 0.5000 0.5000 0.5000  6 Ce 2.52-2.53
O 0.8347 0.8347 0.1679  6 Ce 2.51-2.54

---

## MgBe2Cd (GGA-PBE)

Data for crystalline MgBe2Cd at its relaxed geometry.

Properties
space group: Pmmm
formation enthalpy at 0 K: 0.400 eV/atom
energy relative to the lowest polymorph listed for this composition: 0.1089 eV/atom

a b c (Å): 3.0143 4.2265 4.9405
angles (deg): 90.00 90.00 90.00
Closest atoms and distances in Å follow each position.
Element x y z (fractional)
Mg 0.0000 0.0000 0.0000  8 Be 2.83, 4 Cd 2.89, 2 Mg 3.01
Be 0.5000 0.5000 0.2281  1 Be 2.25, 2 Cd 2.50
Be 0.5000 0.5000 0.7719  1 Be 2.25, 2 Cd 2.50
Cd 0.5000 0.0000 0.5000  4 Be 2.50

---

## Pu3Tl2Cd3 (GGA-PBE)

Data for crystalline Pu3Tl2Cd3 at its relaxed geometry.

Properties
space group: C2/m
formation enthalpy at 0 K: 0.091 eV/atom

a b c (Å): 9.5241 9.5241 5.4623
angles (deg): 106.53 106.53 23.59
Closest atoms and distances in Å follow each position.
Element x y z (fractional)
Pu 0.0000 0.0000 0.0000  4 Pu 2.55
Pu 0.4078 0.4078 0.9085  2 Pu 2.55
Pu 0.5921 0.5921 0.0915  2 Pu 2.55
Tl 0.2421 0.2421 0.2420  3 Cd 3.09-3.45, 2 Pu 3.31, 4 Tl 3.36-3.37
Tl 0.7579 0.7579 0.7580  3 Cd 3.09-3.45, 2 Pu 3.31, 4 Tl 3.36-3.37
Cd 0.1235 0.1235 0.6228  2 Cd 2.94, 2 Tl 3.09
Cd 0.5000 0.5000 0.5000  4 Cd 2.94, 4 Pu 3.19
Cd 0.8765 0.8765 0.3772  2 Cd 2.94, 2 Tl 3.09

---

## CdBr3 (GGA-PBE)

Data for crystalline CdBr3 at its relaxed geometry.

Properties
space group: Cmmm
uncorrected formation energy: 102 meV per atom

a b c (Å): 5.2155 5.2155 3.8873
angles (deg): 90.00 90.00 90.07
Closest atoms and distances in Å follow each position.
Element x y z (fractional)
Cd 0.0000 0.0000 0.0000  8 Br 3.25
Br 0.0000 0.5000 0.5000  4 Cd 3.25, 4 Br 3.25
Br 0.5000 0.0000 0.5000  4 Cd 3.25, 4 Br 3.25
Br 0.5000 0.5000 0.0000  8 Br 3.25